# Co3Os GGA-PBE relaxed
# * total energy: -7.8132 eV/atom
# * magnetic moment: 6.50 Bohr magnetons per cell
data_Co3Os
_cell_length_a 5.7322
_cell_length_b 5.7322
_cell_length_c 5.7322
_cell_angle_alpha 90.00
_cell_angle_beta 90.00
_cell_angle_gamma 90.00
_symmetry_space_group_name_H-M 'F m -3 m'
_symmetry_Int_Tables_number 225
_symmetry_space_group_name_Hall '-F 4 2 3'
loop_
_atom_site_label
_atom_site_type_symbol
_atom_site_fract_x
_atom_site_fract_y
_atom_site_fract_z
_atom_site_occupancy
Co1 Co 0.0000 0.0000 0.0000 1
Co2 Co 0.2500 0.2500 0.2500 1
Os1 Os 0.0000 0.0000 0.5000 1